{"formula": "SnMo2F2", "functional": "PBE+U", "state": "optimized geometry", "cell": [[7.513, 0.000, 0.000], [0.000, 7.513, 0.000], [0.000, 0.000, 3.187]], "species": ["Sn", "Sn", "Mo", "Mo", "Mo", "Mo", "F", "F", "F", "F"], "frac_coords": [[0.000, 0.000, 0.000], [0.500, 0.500, 0.000], [0.164, 0.336, 0.500], [0.336, 0.836, 0.500], [0.664, 0.164, 0.500], [0.836, 0.664, 0.500], [0.121, 0.621, 0.000], [0.379, 0.121, 0.000], [0.621, 0.879, 0.000], [0.879, 0.379, 0.000]], "spacegroup": "P4/mbm (127)", "de_polymorph_ev_per_atom": 0.063, "rho_g_cm3": 6.436}